# 1
The following is a GGA-PBE calculation of crystalline Y2IrBr at its relaxed geometry, from Alexandria.

Output
Electronic total energy in eV for the cell shown: -27.10
Theoretical density in kg/m3: 7751
Formation energy (no corrections) in eV per atom: -0.9105
Relative energy among the computed polymorphs in meV per atom: 175
DOS at the Fermi energy in states/eV/cell: 1.646

abc: 3.4240 3.4241 8.2217
angles: 90.00 90.00 90.04
Element x y z (fractional)
Y (0.0000, 0.0000, 0.9548)
Y (0.0000, 0.0000, 0.5452)
Ir (0.5000, 0.5000, 0.7500)
Br (0.5000, 0.5000, 0.2500)


# 2
The following is a GGA-PBE calculation of crystalline GdTaNi2 at its relaxed geometry, from Alexandria.

Output
E_form in meV/atom: -218
Electronic total energy in eV for the cell shown: -38.37
Theoretical density in kg/m3: 10973
DOS at the Fermi energy in states/eV/cell: 3.423

abc: 3.1826 3.1826 6.8069
angles: 90.00 90.00 90.00
Element x y z (fractional)
Ta (0.5000, 0.5000, 0.0000)
Ni (0.0000, 0.0000, 0.8092)
Ni (0.0000, 0.0000, 0.1908)
Gd (0.5000, 0.5000, 0.5000)


# 3
The following is a GGA-PBE calculation of crystalline SmZnGaCu at its relaxed geometry, from Alexandria.

Output
E_form in meV/atom: -308
Electronic total energy in eV for the cell shown: -14.35
Theoretical density in kg/m3: 7921
DOS at the Fermi energy in states/eV/cell: 1.881

abc: 4.6948 4.6948 4.6948
angles: 60.00 60.00 60.00
Element x y z (fractional)
Ga (0.7500, 0.7500, 0.7500)
Zn (0.5000, 0.5000, 0.5000)
Cu (0.0000, 0.0000, 0.0000)
Sm (0.2500, 0.2500, 0.2500)


# 4
The following is a GGA-PBE calculation of crystalline CsLaCuS2 at its relaxed geometry, from Alexandria.

Output
Electronic total energy in eV for the cell shown: -47.64
Theoretical density in kg/m3: 4086
Formation energy (no corrections) in eV per atom: -1.1381
Relative energy among the computed polymorphs in meV per atom: 0
DOS at the Fermi energy in states/eV/cell: 5.220

abc: 4.8384 8.0599 8.4734
angles: 100.72 90.00 90.00
Element x y z (fractional)
S (0.7001, 0.2113, 0.5348)
S (0.7001, 0.7887, 0.9652)
S (0.2999, 0.2113, 0.0348)
S (0.2999, 0.7887, 0.4652)
Cs (0.8192, 0.5000, 0.2500)
Cs (0.1808, 0.5000, 0.7500)
La (0.5089, 0.0000, 0.7500)
La (0.4911, 0.0000, 0.2500)
Cu (0.0000, 0.0000, 0.5000)
Cu (0.0000, 0.0000, 0.0000)


# 5
The following is a GGA-PBE calculation of crystalline LiPrEr2S4 at its relaxed geometry, from Alexandria.

Output
Electronic total energy in eV for the cell shown: -93.77
Theoretical density in kg/m3: 6013
Formation energy (no corrections) in eV per atom: -1.8197
DOS at the Fermi energy in states/eV/cell: 8.140

abc: 3.8623 6.8087 13.3737
angles: 90.00 90.00 106.48
Element x y z (fractional)
S (0.4586, 0.9172, 0.7500)
S (0.0000, 0.0000, 0.0000)
S (0.2695, 0.5390, 0.1213)
S (0.0000, 0.0000, 0.5000)
S (0.5414, 0.0828, 0.2500)
S (0.7305, 0.4610, 0.8787)
S (0.7305, 0.4610, 0.6213)
S (0.2695, 0.5390, 0.3787)
Er (0.6329, 0.2659, 0.0578)
Er (0.3671, 0.7341, 0.9422)
Er (0.6329, 0.2659, 0.4422)
Er (0.3671, 0.7341, 0.5578)
Li (0.1439, 0.2877, 0.2500)
Li (0.8561, 0.7123, 0.7500)
Pr (0.1264, 0.2529, 0.7500)
Pr (0.8736, 0.7471, 0.2500)


# 6
The following is a GGA-PBE calculation of crystalline VInP3 at its relaxed geometry, from Alexandria.

Output
E_form in meV/atom: 1440
Electronic total energy in eV for the cell shown: -20.89
Theoretical density in kg/m3: 3532
Relative energy among the computed polymorphs in meV per atom: 1238
DOS at the Fermi energy in states/eV/cell: 8.527

abc: 4.9543 4.9543 4.9543
angles: 90.00 90.00 90.00
Element x y z (fractional)
P (0.5000, 0.0000, 0.0000)
P (0.0000, 0.5000, 0.0000)
P (0.0000, 0.0000, 0.5000)
V (0.5000, 0.5000, 0.5000)
In (0.0000, 0.0000, 0.0000)


# 7
The following is a GGA-PBE calculation of crystalline KTlSn at its relaxed geometry, from Alexandria.

Output
E_form in meV/atom: -82
Electronic total energy in eV for the cell shown: -15.42
Theoretical density in kg/m3: 5499
DOS at the Fermi energy in states/eV/cell: 2.101

abc: 6.3920 7.2539 5.1826
angles: 71.96 106.71 96.72
Element x y z (fractional)
Tl (0.7032, 0.8839, 0.6619)
Tl (0.9316, 0.2597, 0.2582)
K (0.3698, 0.1502, 0.8766)
K (0.3701, 0.6127, 0.0884)
Sn (0.8497, 0.4707, 0.6383)
Sn (0.0215, 0.8437, 0.3075)


# 8
The following is a GGA-PBE calculation of crystalline TiP3O at its relaxed geometry, from Alexandria.

Output
Electronic total energy in eV for the cell shown: -25.50
Theoretical density in kg/m3: 2627
Formation energy (no corrections) in eV per atom: 0.7168
Relative energy among the computed polymorphs in meV per atom: 635
DOS at the Fermi energy in states/eV/cell: 4.252

abc: 4.6278 4.6278 4.6278
angles: 90.00 90.00 90.00
Element x y z (fractional)
P (0.0000, 0.0000, 0.5000)
P (0.5000, 0.0000, 0.0000)
P (0.0000, 0.5000, 0.0000)
O (0.5000, 0.5000, 0.5000)
Ti (0.0000, 0.0000, 0.0000)


# 9
The following is a GGA-PBE calculation of crystalline RbThIO6 at its relaxed geometry, from Alexandria.

Output
Electronic total energy in eV for the cell shown: -54.85
Theoretical density in kg/m3: 4951
Formation energy (no corrections) in eV per atom: -1.6849
DOS at the Fermi energy in states/eV/cell: 0.000

abc: 5.8477 5.8476 6.1205
angles: 90.00 90.00 60.00
Element x y z (fractional)
O (0.5902, 0.3565, 0.6776)
O (0.5903, 0.0533, 0.3224)
O (0.3564, 0.0533, 0.6776)
O (0.0533, 0.5903, 0.6776)
O (0.0533, 0.3564, 0.3224)
O (0.3564, 0.5902, 0.3224)
Rb (0.0000, 0.0000, 0.0000)
Th (0.6666, 0.6667, 0.5000)
I (0.3333, 0.3333, 0.5000)


# 10
The following is a GGA-PBE calculation of crystalline CsYGeSe4 at its relaxed geometry, from Alexandria.

Output
Electronic total energy in eV for the cell shown: -67.81
Theoretical density in kg/m3: 4476
Formation energy (no corrections) in eV per atom: -1.1474

abc: 6.7741 7.1358 9.8764
angles: 90.00 108.48 90.00
Element x y z (fractional)
Cs (0.7487, 0.7500, 0.9410)
Cs (0.2513, 0.2500, 0.0590)
Se (0.9838, 0.4923, 0.3044)
Se (0.5561, 0.2500, 0.4229)
Se (0.4251, 0.7500, 0.1850)
Se (0.5749, 0.2500, 0.8150)
Se (0.9838, 0.0077, 0.3044)
Se (0.0162, 0.5077, 0.6956)
Se (0.4439, 0.7500, 0.5771)
Se (0.0162, 0.9923, 0.6956)
Ge (0.2215, 0.7500, 0.3391)
Ge (0.7785, 0.2500, 0.6609)
Y (0.2254, 0.2500, 0.5480)
Y (0.7746, 0.7500, 0.4520)


# 11
The following is a GGA-PBE calculation of crystalline BiS2BrN at its relaxed geometry, from Alexandria.

Output
Electronic total energy in eV for the cell shown: -15.99
Theoretical density in kg/m3: 4452
Formation energy (no corrections) in eV per atom: 1.2288
Relative energy among the computed polymorphs in meV per atom: 0
DOS at the Fermi energy in states/eV/cell: 3.058

abc: 5.4129 5.4129 4.6728
angles: 90.00 90.00 90.00
Element x y z (fractional)
S (0.5000, 0.0000, 0.0000)
S (0.0000, 0.5000, 0.0000)
Br (0.5000, 0.5000, 0.5000)
Bi (0.0000, 0.0000, 0.0000)
N (0.0000, 0.0000, 0.5000)


Question: Which of these has the lowest theoretical density?
Answer: TiP3O


Question: Number 1 is which compound?
Answer: Y2IrBr